BeBrF2 PBE optimized geometry; electronic total energy = -34.92 eV/cell; total magnetic moment = 2.00 μB/cell; relative energy among the computed polymorphs = 0 meV per atom; formation energy (no corrections) = -8.32 eV per formula unit; density = 3.99 g/cm³
1.0
0.0000 3.7534 3.7534
3.7534 0.0000 3.7534
3.7534 3.7534 0.0000
Be Br F
2 2 4
direct
0.1250 0.1250 0.1250
0.8750 0.8750 0.8750
0.3750 0.3750 0.3750
0.6250 0.6250 0.6250
0.0000 0.0000 0.0000
0.0000 0.0000 0.5000
0.0000 0.5000 0.0000
0.5000 0.0000 0.0000